# ZrMn2Si

A relaxed structure of ZrMn2Si (PBE-GGA, Alexandria via LeMat-Bulk).

Computed properties:
* DOS at the Fermi energy: 6.832 states/eV/f.u.
* total moment: 5.32 μB/f.u.
* raw total energy: -8.116 eV per atom
* formation energy from raw total energies: -0.2 eV per formula unit

a = 4.400 Å, b = 4.400 Å, c = 4.400 Å
α = 60.00°, β = 60.00°, γ = 60.00°
Sites, in units of the cell vectors:
Zr 0.750 0.750 0.750
Si 0.500 0.500 0.500
Mn 0.000 0.000 0.000
Mn 0.250 0.250 0.250



# PrHo2PuAs4

A relaxed structure of PrHo2PuAs4 (PBE-GGA, Alexandria via LeMat-Bulk).

Computed properties:
* DOS at the Fermi energy: 13.639 states/eV/f.u.
* total moment: 4.94 μB/f.u.
* raw total energy: -7.233 eV per atom
* formation energy: -1375 meV/atom

a = 4.169 Å, b = 7.197 Å, c = 7.209 Å
α = 70.51°, β = 90.00°, γ = 90.00°
Sites, in units of the cell vectors:
Pr 0.500 0.500 0.000
Ho 0.500 0.000 0.500
Ho 0.000 0.000 0.000
Pu 0.000 0.500 0.500
As 0.000 0.241 0.259
As 0.500 0.246 0.745
As 0.000 0.759 0.741
As 0.500 0.754 0.255



# NaAcBr

A relaxed structure of NaAcBr (PBE-GGA, Alexandria via LeMat-Bulk).

Computed properties:
* DOS at the Fermi energy: 2.341 states/eV/f.u.
* total moment: 0.00 μB/f.u.
* raw total energy: -3.127 eV per atom
* formation energy from raw total energies: -2.3 eV per formula unit

a = 3.926 Å, b = 6.176 Å, c = 9.116 Å
α = 89.99°, β = 92.37°, γ = 90.00°
Sites, in units of the cell vectors:
Ac 0.869 0.663 0.352
Ac 0.356 0.163 0.166
Br 0.395 0.663 0.644
Br 0.884 0.163 0.457
Na 0.421 0.163 0.726
Na 0.892 0.663 0.927



# BaNaZn2Pt

A relaxed structure of BaNaZn2Pt (PBE-GGA, Alexandria via LeMat-Bulk).

Computed properties:
* DOS at the Fermi energy: 2.312 states/eV/f.u.
* total moment: 0.00 μB/f.u.
* raw total energy: -2.652 eV per atom
* formation energy: -285 meV/atom

a = 4.985 Å, b = 4.985 Å, c = 5.347 Å
α = 90.00°, β = 90.00°, γ = 90.00°
Sites, in units of the cell vectors:
Ba 0.500 0.500 0.500
Pt 0.000 0.000 0.000
Na 0.000 0.000 0.500
Zn 0.000 0.500 0.000
Zn 0.500 0.000 0.000



# La2CdTeIr

A relaxed structure of La2CdTeIr (PBE-GGA, Alexandria via LeMat-Bulk).

Computed properties:
* DOS at the Fermi energy: 2.871 states/eV/f.u.
* total moment: 0.00 μB/f.u.
* raw total energy: -5.336 eV per atom
* formation energy from raw total energies: -3.9 eV per formula unit

a = 5.497 Å, b = 5.497 Å, c = 5.215 Å
α = 90.00°, β = 90.00°, γ = 90.00°
Sites, in units of the cell vectors:
Ir 0.000 0.000 0.000
Te 0.500 0.500 0.500
La 0.500 0.000 0.000
La 0.000 0.500 0.000
Cd 0.000 0.000 0.500



# Al2CuSi

A relaxed structure of Al2CuSi (PBE-GGA, Alexandria via LeMat-Bulk).

Computed properties:
* DOS at the Fermi energy: 1.059 states/eV/f.u.
* total moment: 0.00 μB/f.u.
* raw total energy: -4.167 eV per atom
* formation energy from raw total energies: 0.3 eV per formula unit

a = 2.882 Å, b = 2.882 Å, c = 8.215 Å
α = 90.00°, β = 90.00°, γ = 120.00°
Sites, in units of the cell vectors:
Al 0.333 0.667 0.240
Al 0.333 0.667 0.760
Cu 0.999 0.001 0.000
Si 0.001 0.999 0.500



# FePt2Se

A relaxed structure of FePt2Se (PBE-GGA, Alexandria via LeMat-Bulk).

Computed properties:
* DOS at the Fermi energy: 2.685 states/eV/f.u.
* total moment: 3.29 μB/f.u.
* raw total energy: -5.825 eV per atom
* formation energy from raw total energies: 0.7 eV per formula unit

a = 4.684 Å, b = 4.684 Å, c = 4.684 Å
α = 127.41°, β = 127.41°, γ = 77.58°
Sites, in units of the cell vectors:
Se 0.500 0.500 0.000
Pt 0.000 0.000 0.000
Pt 0.250 0.750 0.500
Fe 0.750 0.250 0.500



# LaNdTlBr

A relaxed structure of LaNdTlBr (PBE-GGA, Alexandria via LeMat-Bulk).

Computed properties:
* DOS at the Fermi energy: 2.636 states/eV/f.u.
* total moment: 0.00 μB/f.u.
* raw total energy: -4.210 eV per atom
* formation energy from raw total energies: -3.1 eV per formula unit
* distance to the lowest polymorph of the same formula: 0 meV per atom

a = 4.582 Å, b = 4.582 Å, c = 7.517 Å
α = 72.26°, β = 72.26°, γ = 60.00°
Sites, in units of the cell vectors:
Br 0.195 0.195 0.414
Nd 0.945 0.945 0.166
Tl 0.692 0.692 0.923
La 0.444 0.444 0.668



# HgAsAu

A relaxed structure of HgAsAu (PBE-GGA, Alexandria via LeMat-Bulk).

Computed properties:
* DOS at the Fermi energy: 1.081 states/eV/f.u.
* total moment: 0.00 μB/f.u.
* raw total energy: -2.591 eV per atom
* formation energy: 152 meV/atom
* distance to the lowest polymorph of the same formula: 48 meV per atom

a = 3.956 Å, b = 3.956 Å, c = 5.020 Å
α = 90.00°, β = 90.00°, γ = 120.00°
Sites, in units of the cell vectors:
As 0.000 0.000 0.043
Au 0.333 0.667 0.294
Hg 0.667 0.333 0.664



# Pr2Ni5Rh5

A relaxed structure of Pr2Ni5Rh5 (PBE-GGA, Alexandria via LeMat-Bulk).

Computed properties:
* DOS at the Fermi energy: 12.160 states/eV/f.u.
* total moment: 0.00 μB/f.u.
* raw total energy: -6.606 eV per atom
* formation energy: -338 meV/atom

a = 4.056 Å, b = 5.285 Å, c = 8.926 Å
α = 90.00°, β = 90.00°, γ = 90.00°
Sites, in units of the cell vectors:
Pr 0.000 0.500 0.000
Pr 0.000 0.000 0.500
Rh 0.500 0.500 0.500
Rh 0.500 0.248 0.245
Rh 0.500 0.752 0.245
Rh 0.500 0.248 0.755
Rh 0.500 0.752 0.755
Ni 0.000 0.500 0.668
Ni 0.000 0.500 0.332
Ni 0.000 0.000 0.845
Ni 0.500 0.000 0.000
Ni 0.000 0.000 0.155



# Be2TlAg2F7

A relaxed structure of Be2TlAg2F7 (PBE-GGA, Alexandria via LeMat-Bulk).

Computed properties:
* DOS at the Fermi energy: 0.000 states/eV/f.u.
* total moment: 0.00 μB/f.u.
* raw total energy: -4.619 eV per atom
* formation energy from raw total energies: -26.8 eV per formula unit

a = 5.309 Å, b = 5.309 Å, c = 8.557 Å
α = 71.93°, β = 71.93°, γ = 60.00°
Sites, in units of the cell vectors:
F 0.000 0.000 0.000
F 0.923 0.632 0.247
F 0.198 0.923 0.247
F 0.632 0.198 0.247
F 0.802 0.368 0.753
F 0.077 0.802 0.753
F 0.368 0.077 0.753
Tl 0.500 0.500 0.500
Be 0.067 0.067 0.799
Be 0.933 0.933 0.201
Ag 0.313 0.313 0.062
Ag 0.687 0.687 0.938



# Tb2YTm3Te6

A relaxed structure of Tb2YTm3Te6 (PBE-GGA, Alexandria via LeMat-Bulk).

Computed properties:
* DOS at the Fermi energy: 6.192 states/eV/f.u.
* total moment: 0.00 μB/f.u.
* raw total energy: -5.240 eV per atom
* formation energy from raw total energies: -14.9 eV per formula unit

a = 4.310 Å, b = 8.730 Å, c = 9.726 Å
α = 103.87°, β = 102.80°, γ = 90.00°
Sites, in units of the cell vectors:
Te 0.002 0.747 0.003
Te 0.668 0.080 0.336
Te 0.335 0.413 0.670
Te 0.998 0.253 0.997
Te 0.665 0.587 0.330
Te 0.332 0.920 0.664
Tb 0.833 0.666 0.666
Tb 0.167 0.334 0.334
Tm 0.833 0.167 0.666
Tm 0.500 0.500 0.000
Tm 0.167 0.833 0.334
Y 0.500 0.000 0.000